# 1
4
Lattice="0.000 3.397 3.397 3.397 0.000 3.397 3.397 3.397 0.000" Properties=species:S:1:pos:R:3 comment="NiHg3 | Alexandria | GGA-PBE | optimized geometry" energy_ev_per_fu=-5.2 formation_enthalpy_0k_ev_per_atom=0.377 sg="No. 225" relative_energy_kj_per_mol_fu=96.2 pbc="T T T"
Ni 0.000 0.000 0.000
Hg 1.699 1.699 1.699
Hg 3.397 3.397 3.397
Hg 5.096 5.096 5.096


# 2
2
Lattice="0.000 2.620 2.620 2.620 0.000 2.620 2.620 2.620 0.000" Properties=species:S:1:pos:R:3 comment="NiHg | Alexandria | GGA-PBE | optimized geometry" energy_ev_per_fu=-5.2 formation_enthalpy_0k_ev_per_atom=0.451 sg="No. 225" pbc="T T T"
Ni 0.000 0.000 0.000
Hg 2.620 2.620 2.620